1.
7
Lattice="4.7633 0.0000 0.0000 0.0000 4.7633 0.0000 0.0000 0.0000 7.5197" Properties=species:S:1:pos:R:3 comment="PmIn5Pd, relaxed, DFT GGA-PBE" n_ef_per_ev_atom=0.5358 formation_enthalpy_0k_mev_per_atom=-435 m_tot_mub_per_cell=0.000 e_tot_ev_per_atom=-3.812 volume_a3_per_fu=170.6 pbc="T T T"
Pm 0.0000 0.0000 0.0000
In 0.0000 2.3816 2.2419
In 0.0000 2.3816 5.2778
In 2.3816 0.0000 2.2419
In 2.3816 0.0000 5.2778
In 2.3816 2.3816 0.0000
Pd 0.0000 0.0000 3.7599



2.
5
Lattice="4.1384 0.0000 0.0000 0.0000 4.1384 0.0000 0.0000 0.0000 4.1384" Properties=species:S:1:pos:R:3 comment="LiS3N, relaxed, DFT GGA-PBE" polymorph_energy_mev_per_atom=0 n_ef_per_ev_atom=0.3514 m_tot_mub_per_cell=0.000 e_tot_ev_per_atom=-3.800 raw_formation_energy_mev_per_atom=724 volume_a3_per_fu=70.9 pbc="T T T"
Li 0.0000 0.0000 0.0000
S 0.0000 2.0692 2.0692
S 2.0692 0.0000 2.0692
S 2.0692 2.0692 0.0000
N 2.0692 2.0692 2.0692